1.
{"formula": "LaHo2In", "functional": "PBE", "state": "optimized geometry", "lattice": [[3.489, 0.000, 0.000], [1.744, 3.021, 0.000], [1.744, 1.007, 11.873]], "species": ["In", "Ho", "Ho", "La"], "fractional_positions": [[0.500, 0.500, 0.500], [0.096, 0.096, 0.712], [0.904, 0.904, 0.288], [0.000, 0.000, 0.000]], "ef_mev_per_atom": 20, "final_energy_ev_per_atom": -4.18, "polymorph_energy_mev_per_atom": 271.2, "magnetic_moment_mub_per_fu": 0.00, "vol_a3_per_cell": 125.2}

---

2.
{"formula": "LaHo4In5", "functional": "PBE", "state": "optimized geometry", "lattice": [[3.767, 0.000, 0.000], [0.000, 3.767, 0.000], [0.000, 0.000, 19.105]], "species": ["La", "Ho", "Ho", "Ho", "Ho", "In", "In", "In", "In", "In"], "fractional_positions": [[0.000, 0.000, 0.000], [0.000, 0.000, 0.209], [0.000, 0.000, 0.403], [0.000, 0.000, 0.597], [0.000, 0.000, 0.791], [0.500, 0.500, 0.113], [0.500, 0.500, 0.306], [0.500, 0.500, 0.500], [0.500, 0.500, 0.694], [0.500, 0.500, 0.887]], "ef_mev_per_atom": -469, "final_energy_ev_per_atom": -4.16, "magnetic_moment_mub_per_fu": 0.00, "vol_a3_per_cell": 271.2}

---

3.
{"formula": "La2Ho2In3", "functional": "PBE", "state": "optimized geometry", "lattice": [[4.710, 0.000, 0.625], [0.000, 3.448, 0.000], [0.712, 0.000, 12.690]], "species": ["La", "La", "Ho", "Ho", "In", "In", "In"], "fractional_positions": [[0.574, 0.500, 0.852], [0.426, 0.500, 0.148], [0.706, 0.500, 0.588], [0.294, 0.500, 0.412], [0.844, 0.000, 0.312], [0.000, 0.000, 0.000], [0.156, 0.000, 0.688]], "ef_mev_per_atom": -336, "final_energy_ev_per_atom": -4.23, "magnetic_moment_mub_per_fu": 0.00, "vol_a3_per_cell": 204.5}

---

4.
{"formula": "La3HoIn4", "functional": "PBE", "state": "optimized geometry", "lattice": [[-0.259, -2.483, -2.951], [3.839, -0.449, 0.040], [-1.516, -12.048, 10.269]], "species": ["In", "In", "In", "In", "Ho", "La", "La", "La"], "fractional_positions": [[0.000, 0.000, 0.890], [0.000, 0.000, 0.110], [0.000, 0.000, 0.371], [0.000, 0.000, 0.629], [0.500, 0.500, 0.000], [0.500, 0.500, 0.241], [0.500, 0.500, 0.500], [0.500, 0.500, 0.759]], "ef_mev_per_atom": -506, "final_energy_ev_per_atom": -4.29, "magnetic_moment_mub_per_fu": 0.00, "vol_a3_per_cell": 237.6}

---

5.
{"formula": "LaHoIn4", "functional": "PBE", "state": "optimized geometry", "lattice": [[4.383, 0.000, 1.879], [1.880, 5.862, 1.665], [-0.133, 0.412, 6.363]], "species": ["La", "Ho", "In", "In", "In", "In"], "fractional_positions": [[0.552, 0.448, 0.448], [0.439, 0.061, 0.061], [0.161, 0.637, 0.040], [0.843, 0.869, 0.445], [0.843, 0.445, 0.869], [0.161, 0.040, 0.637]], "ef_mev_per_atom": -438, "final_energy_ev_per_atom": -3.85, "polymorph_energy_mev_per_atom": 0.0, "magnetic_moment_mub_per_fu": 0.00, "vol_a3_per_cell": 163.4}

---

6.
{"formula": "LaHo2In9", "functional": "PBE", "state": "optimized geometry", "lattice": [[-2.976, 3.154, 1.786], [-3.554, -2.992, -0.638], [2.123, -5.253, 12.815]], "species": ["La", "Ho", "Ho", "In", "In", "In", "In", "In", "In", "In", "In", "In"], "fractional_positions": [[0.000, 0.000, 0.000], [0.000, 0.000, 0.338], [0.000, 0.000, 0.662], [0.500, 0.500, 0.000], [0.500, 0.500, 0.335], [0.500, 0.500, 0.665], [0.500, 0.000, 0.173], [0.500, 0.000, 0.500], [0.500, 0.000, 0.827], [0.000, 0.500, 0.173], [0.000, 0.500, 0.500], [0.000, 0.500, 0.827]], "ef_mev_per_atom": -427, "final_energy_ev_per_atom": -3.65, "magnetic_moment_mub_per_fu": 0.00, "vol_a3_per_cell": 308.2}

---

7.
{"formula": "La6HoIn", "functional": "PBE", "state": "optimized geometry", "lattice": [[5.120, 0.000, 0.000], [0.000, 5.120, 0.000], [0.000, 0.000, 10.366]], "species": ["La", "La", "La", "La", "La", "La", "Ho", "In"], "fractional_positions": [[0.500, 0.500, 0.000], [0.500, 0.500, 0.500], [0.500, 0.000, 0.245], [0.500, 0.000, 0.755], [0.000, 0.500, 0.245], [0.000, 0.500, 0.755], [0.000, 0.000, 0.500], [0.000, 0.000, 0.000]], "ef_mev_per_atom": -132, "final_energy_ev_per_atom": -4.74, "polymorph_energy_mev_per_atom": 0.0, "magnetic_moment_mub_per_fu": 0.00, "vol_a3_per_cell": 271.8}

---

8.
{"formula": "La2HoIn", "functional": "PBE", "state": "optimized geometry", "lattice": [[4.909, 0.000, 0.000], [0.000, 4.946, 0.000], [-2.454, -2.473, 5.115]], "species": ["La", "La", "Ho", "In"], "fractional_positions": [[0.001, 0.001, 0.002], [0.248, 0.748, 0.496], [0.752, 0.252, 0.505], [0.499, 0.499, 0.997]], "ef_mev_per_atom": -240, "final_energy_ev_per_atom": -4.53, "polymorph_energy_mev_per_atom": 33.3, "magnetic_moment_mub_per_fu": 0.00, "vol_a3_per_cell": 124.2}